Computed, not measured: a relaxed AcHgPtO4 crystal at the PBE level of DFT.

a = 6.5149 Å, b = 7.4350 Å, c = 8.0598 Å
α = 122.82°, β = 90.00°, γ = 115.98°
Last column: nearest neighbours and their distance in Å.
Fractional coordinates of all 14 atoms:
O  0.2646  0.5293  0.6637  2 Pt 2.03
O  0.2646  0.5293  0.3656  2 Pt 2.03
O  0.6395  0.8832  0.1916  1 Hg 1.97
O  0.2436  0.8832  0.1916  1 Hg 1.97
O  0.7564  0.1168  0.8084  1 Hg 1.97
O  0.7354  0.4707  0.3363  2 Pt 2.03
O  0.3605  0.1168  0.8084  1 Hg 1.97
O  0.7354  0.4707  0.6344  2 Pt 2.03
Ac  0.5000  0.0000  0.0000  6 O 2.47-2.64
Ac  0.5000  0.0000  0.5000  6 O 2.47-2.64
Pt  0.5000  0.5000  0.5000  4 O 2.03
Pt  0.0000  0.5000  0.5000  4 O 2.03
Hg  0.0681  0.1361  0.8181  2 O 1.97
Hg  0.9319  0.8639  0.1819  2 O 1.97

Summary:
Uncorrected formation energy: -1349 meV/atom

Computed, not measured: a relaxed Ac5Hg2PtO crystal at the PBE level of DFT.

a = 4.3241 Å, b = 10.1280 Å, c = 14.3586 Å
α = 90.00°, β = 90.00°, γ = 102.33°
Last column: nearest neighbours and their distance in Å.
Fractional coordinates of all 18 atoms:
Ac  0.7056  0.4112  0.1686  2 Pt 3.01
Ac  0.6490  0.2980  0.5133  1 Pt 3.01
Ac  0.6820  0.3640  0.8777  1 O 2.71, 2 Pt 3.02
Ac  0.3510  0.7020  0.0133  1 Pt 3.01
Ac  0.9602  0.9204  0.5077  2 O 2.45
Ac  0.4954  0.9909  0.7782  1 O 2.42
Ac  0.5046  0.0091  0.2782  1 O 2.42
Ac  0.2944  0.5888  0.6686  2 Pt 3.01
Ac  0.3180  0.6360  0.3777  1 O 2.71, 2 Pt 3.02
Ac  0.0398  0.0796  0.0077  2 O 2.45
Hg  0.1311  0.2621  0.3312  7 Ac 3.39-3.76
Hg  0.1148  0.2296  0.6958  7 Ac 3.41-3.64
Hg  0.8689  0.7379  0.8312  7 Ac 3.39-3.76
Hg  0.8852  0.7704  0.1958  7 Ac 3.41-3.64
Pt  0.1988  0.3976  0.0227  6 Ac 3.01-3.15
Pt  0.8012  0.6024  0.5227  6 Ac 3.01-3.15
O  0.5501  0.1002  0.9287  3 Ac 2.42-2.45
O  0.4499  0.8998  0.4287  3 Ac 2.42-2.45

Summary:
Uncorrected formation energy: -1076 meV/atom

Computed, not measured: a relaxed Ac2HgPtO6 crystal at the PBE level of DFT.

a = 5.8621 Å, b = 6.3798 Å, c = 8.1717 Å
α = 90.00°, β = 89.51°, γ = 90.00°
Last column: nearest neighbours and their distance in Å.
Fractional coordinates of all 20 atoms:
Hg  0.0000  0.5000  0.5000  6 O 2.30-2.51
Hg  0.5000  0.0000  0.0000  6 O 2.30-2.51
O  0.3838  0.9490  0.7345  1 Pt 2.05
O  0.8418  0.7780  0.9340  1 Pt 2.07
O  0.7054  0.3318  0.9539  1 Pt 2.07
O  0.1162  0.4490  0.7655  1 Pt 2.05
O  0.7946  0.8318  0.5461  1 Pt 2.07
O  0.1582  0.2220  0.0660  1 Pt 2.07
O  0.8838  0.5510  0.2345  1 Pt 2.05
O  0.2054  0.1682  0.4539  1 Pt 2.07
O  0.6162  0.0510  0.2655  1 Pt 2.05
O  0.3418  0.7220  0.4340  1 Pt 2.07
O  0.2946  0.6682  0.0461  1 Pt 2.07
O  0.6582  0.2780  0.5660  1 Pt 2.07
Ac  0.9789  0.0717  0.7489  5 O 2.50-2.75
Ac  0.0211  0.9283  0.2511  5 O 2.50-2.75
Ac  0.5211  0.5717  0.7511  5 O 2.50-2.75
Ac  0.4789  0.4283  0.2489  5 O 2.50-2.75
Pt  0.0000  0.5000  0.0000  6 O 2.05-2.07
Pt  0.5000  0.0000  0.5000  6 O 2.05-2.07

Summary:
Uncorrected formation energy: -1922 meV/atom

Computed, not measured: a relaxed AcHgPtO6 crystal at the PBE level of DFT.

a = 6.2581 Å, b = 6.2581 Å, c = 7.2630 Å
α = 90.00°, β = 90.00°, γ = 120.00°
Last column: nearest neighbours and their distance in Å.
Fractional coordinates of all 18 atoms:
Ac  0.3333  0.6667  0.2500  6 O 2.60
Ac  0.6667  0.3333  0.7500  6 O 2.60
O  0.0738  0.4032  0.5982  1 Pt 1.97
O  0.0738  0.6706  0.9018  1 Pt 1.97
O  0.3294  0.9262  0.5982  1 Pt 1.97
O  0.6706  0.5968  0.0982  1 Pt 1.97
O  0.4032  0.0738  0.0982  1 Pt 1.97
O  0.3294  0.4032  0.9018  1 Pt 1.97
O  0.6706  0.0738  0.4018  1 Pt 1.97
O  0.9262  0.5968  0.4018  1 Pt 1.97
O  0.5968  0.9262  0.9018  1 Pt 1.97
O  0.4032  0.3294  0.4018  1 Pt 1.97
O  0.5968  0.6706  0.5982  1 Pt 1.97
O  0.9262  0.3294  0.0982  1 Pt 1.97
Hg  0.0000  0.0000  0.0000  6 O 2.43
Hg  0.0000  0.0000  0.5000  6 O 2.43
Pt  0.6667  0.3333  0.2500  6 O 1.97
Pt  0.3333  0.6667  0.7500  6 O 1.97

Summary:
Uncorrected formation energy: -969 meV/atom

Computed, not measured: a relaxed Ac2Hg2PtO6 crystal at the PBE level of DFT.

a = 6.4062 Å, b = 6.4062 Å, c = 6.5389 Å
α = 91.76°, β = 91.76°, γ = 123.50°
Last column: nearest neighbours and their distance in Å.
Fractional coordinates of all 11 atoms:
O  0.2805  0.0027  0.6690  1 Pt 2.07
O  0.0027  0.2805  0.6690  1 Pt 2.07
O  0.2799  0.2799  0.3388  1 Pt 2.06
O  0.7201  0.7201  0.6612  1 Pt 2.06
O  0.9973  0.7195  0.3310  1 Pt 2.07
O  0.7195  0.9973  0.3310  1 Pt 2.07
Hg  0.8243  0.1757  0.0000  2 O 2.42
Hg  0.1757  0.8243  0.0000  2 O 2.42
Ac  0.6606  0.3394  0.5000  6 O 2.45-2.64
Ac  0.3394  0.6606  0.5000  6 O 2.45-2.64
Pt  0.0000  0.0000  0.5000  6 O 2.06-2.07

Summary:
Uncorrected formation energy: -1497 meV/atom

Computed, not measured: a relaxed Ac2PuHgO6 crystal at the PBE level of DFT.

a = 6.0412 Å, b = 6.6391 Å, c = 9.4978 Å
α = 90.00°, β = 90.00°, γ = 90.01°
Last column: nearest neighbours and their distance in Å.
Fractional coordinates of all 20 atoms:
O  0.1375  0.3135  0.1606  1 Pu 2.13
O  0.3625  0.8135  0.3395  1 Pu 2.13
O  0.7024  0.3702  0.0000  1 Pu 1.99
O  0.8625  0.6865  0.8394  1 Pu 2.13
O  0.6375  0.1863  0.3394  1 Pu 2.13
O  0.6375  0.1865  0.6605  1 Pu 2.13
O  0.2976  0.6298  0.0000  1 Pu 1.99
O  0.7976  0.8702  0.5000  1 Pu 1.99
O  0.3625  0.8137  0.6606  1 Pu 2.13
O  0.8625  0.6863  0.1607  1 Pu 2.13
O  0.1375  0.3137  0.8393  1 Pu 2.13
O  0.2024  0.1298  0.5000  1 Pu 1.99
Ac  0.0000  0.0001  0.7243  6 O 2.49-2.60
Ac  0.0000  0.9999  0.2757  6 O 2.49-2.60
Ac  0.5000  0.5001  0.7756  6 O 2.49-2.60
Ac  0.5000  0.4999  0.2244  6 O 2.49-2.60
Hg  0.0000  0.5000  0.5000  2 O 2.74
Hg  0.5000  0.0000  0.0000  2 O 2.74
Pu  0.5000  0.0000  0.5000  6 O 1.99-2.13
Pu  0.0000  0.5000  0.0000  6 O 1.99-2.13

Summary:
Uncorrected formation energy: -2699 meV/atom

Computed, not measured: a relaxed Rb4Ac3HgO8 crystal at the PBE level of DFT.

a = 7.4595 Å, b = 7.8399 Å, c = 7.7647 Å
α = 117.15°, β = 118.71°, γ = 90.00°
Last column: nearest neighbours and their distance in Å.
Fractional coordinates of all 16 atoms:
Rb  0.5000  0.0000  0.5000  6 O 2.95-3.25
Rb  0.0000  0.0000  0.5000  6 O 2.95-3.25
Rb  0.5000  0.0000  0.0000  2 O 2.75
Rb  0.0000  0.0000  0.0000  4 O 2.93
O  0.2071  0.6776  0.9507  1 Hg 2.35, 2 Ac 2.56-2.63
O  0.7436  0.6776  0.9507  1 Hg 2.35, 2 Ac 2.56-2.63
O  0.7929  0.3224  0.0493  1 Hg 2.35, 2 Ac 2.56-2.63
O  0.2818  0.3160  0.5637  3 Ac 2.53-2.54
O  0.7312  0.2794  0.4624  2 Ac 2.46, 1 Rb 2.75
O  0.7182  0.6840  0.4363  3 Ac 2.53-2.54
O  0.2564  0.3224  0.0493  1 Hg 2.35, 2 Ac 2.56-2.63
O  0.2688  0.7206  0.5376  2 Ac 2.46, 1 Rb 2.75
Ac  0.5000  0.5000  0.0000  6 O 2.54-2.56
Ac  0.0000  0.5000  0.5000  6 O 2.46-2.63
Ac  0.5000  0.5000  0.5000  6 O 2.46-2.63
Hg  0.0000  0.5000  0.0000  4 O 2.35

Summary:
Uncorrected formation energy: -2004 meV/atom

Computed, not measured: a relaxed RbAcHg2O4 crystal at the PBE level of DFT.

a = 6.4165 Å, b = 6.0801 Å, c = 6.0801 Å
α = 68.19°, β = 58.15°, γ = 58.15°
Last column: nearest neighbours and their distance in Å.
Fractional coordinates of all 8 atoms:
O  0.0678  0.8630  0.5282  1 Hg 2.04
O  0.4590  0.1370  0.4718  1 Hg 2.04
O  0.9322  0.4718  0.1370  1 Hg 2.04
O  0.5410  0.5282  0.8630  1 Hg 2.04
Rb  0.0000  0.0000  0.0000  8 O 3.03-3.21
Ac  0.5000  0.5000  0.5000  4 O 2.43
Hg  0.2077  0.2923  0.2923  2 O 2.04
Hg  0.7923  0.7077  0.7077  2 O 2.04

Summary:
Uncorrected formation energy: -1410 meV/atom

Computed, not measured: a relaxed AcReHgO6 crystal at the PBE level of DFT.

a = 6.3303 Å, b = 5.3261 Å, c = 5.7953 Å
α = 77.63°, β = 110.93°, γ = 70.10°
Last column: nearest neighbours and their distance in Å.
Fractional coordinates of all 9 atoms:
O  0.6365  0.4016  0.7264  1 Hg 2.04, 1 Re 2.21
O  0.0495  0.2574  0.3497  1 Re 1.81
O  0.4464  0.0307  0.8619  1 Re 1.79
O  0.5396  0.0943  0.4293  1 Re 1.86
O  0.1200  0.6145  0.5749  1 Re 1.82
O  0.2654  0.6290  0.2039  1 Hg 2.03, 1 Re 2.14
Re  0.3203  0.3031  0.5397  4 O 1.79-1.86
Hg  0.9552  0.0193  0.9765  2 O 2.03-2.04
Ac  0.6668  0.6503  0.3376  6 O 2.43-2.62

Summary:
Uncorrected formation energy: -1799 meV/atom

no.,total energy (eV/f.u.),total moment (μB/f.u.)
1,-39.7,0.25
2,-41.8,0.01
3,-63.5,0.00
4,-48.9,0.03
5,-61.1,0.00
6,-79.6,2.00
7,-88.2,1.07
8,-36.8,0.00
9,-62.8,0.00